A relaxed structure of Sr4Nb3VO12. Source: the Alexandria database, functional PBE+U.

abc: 7.0481 7.0481 7.0481
angles: 109.47 109.47 109.47
Last column: nearest neighbours and their distance in Å.
Sites, in units of the cell vectors:
O 0.2500 0.5000 0.7500  2 Nb 2.03
O 0.2548 0.0000 0.2548  1 Nb 2.00, 1 V 2.07
O 0.7452 0.7452 0.0000  1 Nb 2.00, 1 V 2.07
O 0.7452 0.0000 0.7452  1 Nb 2.00, 1 V 2.07
O 0.0000 0.2548 0.2548  1 Nb 2.00, 1 V 2.07
O 0.5000 0.2500 0.7500  2 Nb 2.03
O 0.2500 0.7500 0.5000  2 Nb 2.03
O 0.7500 0.5000 0.2500  2 Nb 2.03
O 0.5000 0.7500 0.2500  2 Nb 2.03
O 0.7500 0.2500 0.5000  2 Nb 2.03
O 0.0000 0.7452 0.7452  1 Nb 2.00, 1 V 2.07
O 0.2548 0.2548 0.0000  1 Nb 2.00, 1 V 2.07
Sr 0.5000 0.5000 0.5000  12 O 2.88
Sr 0.0000 0.0000 0.5000  12 O 2.88
Sr 0.0000 0.5000 0.0000  12 O 2.88
Sr 0.5000 0.0000 0.0000  12 O 2.88
Nb 0.0000 0.5000 0.5000  6 O 2.00-2.03
Nb 0.5000 0.0000 0.5000  6 O 2.00-2.03
Nb 0.5000 0.5000 0.0000  6 O 2.00-2.03
V 0.0000 0.0000 0.0000  6 O 2.07

Summary:
Calculated density (g/cm³): 5.4
DOS at the Fermi energy (states/eV per cell): 3.46
E_tot (eV per cell): -158.706
Calculated volume (A^3/atom): 13.48
Crystal system: cubic